# PmScSi2

A geometry-optimized PmScSi2 structure (PBE, Alexandria via LeMat-Bulk).

Computed properties:
- symmetry = P4/mmm, No. 123
- energy (eV/cell) = -23.7
- energy relative to the elements, uncorrected (kJ/mol of formula units) = -166
- V (Å³/cell) = 81

```
4
Lattice="4.0901 0.0000 0.0000 0.0000 4.4602 0.0000 0.0000 0.0000 4.4602" Properties=species:S:1:pos:R:3 pbc="T T T"
Si 0.0000 0.0000 2.2301
Si 0.0000 2.2301 0.0000
Pm 2.0451 0.0000 0.0000
Sc 2.0451 2.2301 2.2301
```